No. 1
Entry from the Alexandria database: an optimized crystal structure of Nb6GaW (GGA-PBE).

Lattice parameters (Å, degrees): 7.3742 7.3793 5.2170 44.98 45.06 60.04
Atoms (fractional coordinates):
Nb (0.2457, 0.0003, 0.2538)
Nb (0.0005, 0.5007, 0.2535)
Nb (0.4997, 0.7543, 0.7462)
Nb (0.7543, 0.9997, 0.7462)
Nb (0.5003, 0.2457, 0.2538)
Nb (0.9995, 0.4993, 0.7465)
Ga (0.5000, 0.5000, 0.5000)
W (0.0000, 0.0000, 0.0000)

Results
**SG**: No. 148
**Total energy**: -0.7116 Ry/atom
**E_form**: -0.1317 eV per atom

No. 2
Entry from the Alexandria database: an optimized crystal structure of HfIr2Pb2 (GGA-PBE).

Lattice parameters (Å, degrees): 6.9307 6.9307 4.4708 90.00 90.00 90.00
Atoms (fractional coordinates):
Ir (0.8666, 0.6334, 0.0000)
Ir (0.1334, 0.3666, 0.0000)
Ir (0.6334, 0.1334, 0.0000)
Ir (0.3666, 0.8666, 0.0000)
Pb (0.8226, 0.3226, 0.5000)
Pb (0.3226, 0.1774, 0.5000)
Pb (0.6774, 0.8226, 0.5000)
Pb (0.1774, 0.6774, 0.5000)
Hf (0.0000, 0.0000, 0.0000)
Hf (0.5000, 0.5000, 0.0000)

Results
**SG**: No. 127
**Total energy**: -0.5120 Ry/atom
**E_form**: 0.0519 eV per atom

No. 3
Entry from the Alexandria database: an optimized crystal structure of AcGeP2 (GGA-PBE).

Lattice parameters (Å, degrees): 4.5717 4.5717 5.6273 66.03 66.03 60.00
Atoms (fractional coordinates):
Ac (0.0000, 0.0000, 0.0000)
P (0.7851, 0.7851, 0.6448)
P (0.2149, 0.2149, 0.3552)
Ge (0.5000, 0.5000, 0.5000)

Results
**SG**: No. 166
**Total energy**: -0.3935 Ry/atom
**E_form**: -0.4675 eV per atom

No. 4
Entry from the Alexandria database: an optimized crystal structure of Ti8CoSi2 (GGA-PBE).

Lattice parameters (Å, degrees): 3.8745 6.6186 7.5761 112.06 104.82 90.00
Atoms (fractional coordinates):
Ti (0.4148, 0.5489, 0.8297)
Ti (0.6718, 0.9267, 0.3436)
Ti (0.9668, 0.1953, 0.9336)
Ti (0.0332, 0.8047, 0.0664)
Ti (0.8173, 0.7238, 0.6347)
Ti (0.5852, 0.4511, 0.1703)
Ti (0.1827, 0.2762, 0.3653)
Ti (0.3282, 0.0733, 0.6564)
Si (0.8099, 0.3244, 0.6199)
Si (0.1900, 0.6756, 0.3801)
Co (0.5000, 0.0000, 0.0000)

Results
**Energy relative to the elements, uncorrected**: -3.87 eV/f.u.
**SG**: No. 12
**Total energy**: -0.5678 Ry/atom

No. 5
Entry from the Alexandria database: an optimized crystal structure of Pm6NiN3 (GGA-PBE).

Lattice parameters (Å, degrees): 3.6068 12.7454 10.9195 117.79 90.00 90.00
Atoms (fractional coordinates):
Ni (0.7500, 0.0755, 0.7129)
Ni (0.2500, 0.9245, 0.2871)
Pm (0.7500, 0.9263, 0.0770)
Pm (0.7500, 0.4165, 0.6025)
Pm (0.7500, 0.7273, 0.2506)
Pm (0.2500, 0.2315, 0.2675)
Pm (0.7500, 0.4195, 0.0670)
Pm (0.7500, 0.1046, 0.4501)
Pm (0.7500, 0.7685, 0.7325)
Pm (0.2500, 0.0737, 0.9230)
Pm (0.2500, 0.5835, 0.3975)
Pm (0.2500, 0.2727, 0.7494)
Pm (0.2500, 0.5805, 0.9330)
Pm (0.2500, 0.8954, 0.5499)
N (0.7500, 0.1261, 0.1130)
N (0.2500, 0.8739, 0.8870)
N (0.7500, 0.7287, 0.4838)
N (0.2500, 0.5685, 0.1578)
N (0.2500, 0.2713, 0.5162)
N (0.7500, 0.4315, 0.8422)

Results
**Energy relative to the elements, uncorrected**: -8.09 eV/f.u.
**SG**: No. 11
**Total energy**: -0.4950 Ry/atom

No. 6
Entry from the Alexandria database: an optimized crystal structure of CsSrSbO4 (GGA-PBE).

Lattice parameters (Å, degrees): 6.4930 6.4781 8.1149 90.00 106.40 90.00
Atoms (fractional coordinates):
O (0.9305, 0.0263, 0.6761)
O (0.4709, 0.7500, 0.5661)
O (0.9305, 0.4737, 0.6761)
O (0.5291, 0.2500, 0.4339)
O (0.0695, 0.5263, 0.3239)
O (0.5541, 0.2500, 0.8083)
O (0.4459, 0.7500, 0.1917)
O (0.0695, 0.9737, 0.3239)
Sb (0.7311, 0.2500, 0.6567)
Sb (0.2689, 0.7500, 0.3433)
Cs (0.3001, 0.2500, 0.0684)
Cs (0.6999, 0.7500, 0.9316)
Sr (0.1958, 0.2500, 0.5449)
Sr (0.8042, 0.7500, 0.4551)

Results
**Energy relative to the elements, uncorrected**: -13.31 eV/f.u.
**SG**: No. 11
**Total energy**: -0.4179 Ry/atom

No. 7
Entry from the Alexandria database: an optimized crystal structure of PrDy2Tl2 (GGA-PBE).

Lattice parameters (Å, degrees): 3.8062 5.4912 14.2857 90.00 97.67 90.00
Atoms (fractional coordinates):
Pr (0.1467, 0.2500, 0.2965)
Pr (0.8533, 0.7500, 0.7035)
Tl (0.6432, 0.7500, 0.2878)
Tl (0.5468, 0.2500, 0.0922)
Tl (0.3568, 0.2500, 0.7122)
Tl (0.4532, 0.7500, 0.9078)
Dy (0.0496, 0.7500, 0.0994)
Dy (0.9504, 0.2500, 0.9006)
Dy (0.7638, 0.2500, 0.5270)
Dy (0.2362, 0.7500, 0.4730)

Results
**SG**: No. 11
**Total energy**: -0.2959 Ry/atom
**E_form**: -0.2825 eV per atom

No. 8
Entry from the Alexandria database: an optimized crystal structure of Be2RhBr (GGA-PBE).

Lattice parameters (Å, degrees): 4.2682 4.2682 4.2682 60.00 60.00 60.00
Atoms (fractional coordinates):
Be (0.2500, 0.2500, 0.2500)
Be (0.0000, 0.0000, 0.0000)
Rh (0.7500, 0.7500, 0.7500)
Br (0.5000, 0.5000, 0.5000)

Results
**Energy relative to the elements, uncorrected**: 2.52 eV/f.u.
**SG**: No. 216
**Total energy**: -0.2564 Ry/atom

No. 9
Entry from the Alexandria database: an optimized crystal structure of La2PtAuC (GGA-PBE).

Lattice parameters (Å, degrees): 5.4023 5.4023 3.9107 90.00 90.00 90.00
Atoms (fractional coordinates):
Pt (0.0000, 0.0000, 0.5000)
La (0.5000, 0.0000, 0.0000)
La (0.0000, 0.5000, 0.0000)
C (0.0000, 0.0000, 0.0000)
Au (0.5000, 0.5000, 0.5000)

Results
**SG**: No. 123
**Total energy**: -0.4635 Ry/atom
**E_form**: -0.6271 eV per atom

No. 10
Entry from the Alexandria database: an optimized crystal structure of Rb2TmMnS4 (GGA-PBE).

Lattice parameters (Å, degrees): 8.3829 8.3829 8.2221 119.37 119.37 93.11
Atoms (fractional coordinates):
S (0.7751, 0.2975, 0.5363)
S (0.7657, 0.7341, 0.5662)
S (0.2249, 0.7025, 0.4637)
S (0.2025, 0.7249, 0.9637)
S (0.7975, 0.2751, 0.0363)
S (0.7659, 0.7343, 0.9338)
S (0.2343, 0.2659, 0.4338)
S (0.2341, 0.2657, 0.0662)
Rb (0.5000, 0.0000, 0.5000)
Rb (0.0000, 0.0000, 0.5000)
Rb (0.5000, 0.0000, 0.0000)
Rb (0.5000, 0.5000, 0.0000)
Tm (0.0000, 0.5000, 0.5000)
Tm (0.0000, 0.5000, 0.0000)
Mn (0.5000, 0.5000, 0.5000)
Mn (0.0000, 0.0000, 0.0000)

Results
**Energy relative to the elements, uncorrected**: -9.26 eV/f.u.
**SG**: No. 74
**Total energy**: -0.3798 Ry/atom

No. 11
Entry from the Alexandria database: an optimized crystal structure of ZnFeW3 (GGA-PBE).

Lattice parameters (Å, degrees): 4.4845 4.4845 4.4845 90.00 90.00 90.00
Atoms (fractional coordinates):
W (0.0000, 0.5000, 0.0000)
W (0.5000, 0.0000, 0.0000)
W (0.0000, 0.0000, 0.5000)
Zn (0.0000, 0.0000, 0.0000)
Fe (0.5000, 0.5000, 0.5000)

Results
**SG**: No. 221
**Total energy**: -0.5449 Ry/atom
**E_form**: 2.3050 eV per atom

No. 12
Entry from the Alexandria database: an optimized crystal structure of SmTl2 (GGA-PBE).

Lattice parameters (Å, degrees): 5.4492 5.4492 6.6483 90.00 90.00 120.00
Atoms (fractional coordinates):
Tl (0.0000, 0.0000, 0.0000)
Tl (0.6667, 0.3333, 0.7500)
Tl (0.3333, 0.6667, 0.2500)
Tl (0.0000, 0.0000, 0.5000)
Sm (0.3333, 0.6667, 0.7500)
Sm (0.6667, 0.3333, 0.2500)

Results
**SG**: No. 194
**Total energy**: -0.2500 Ry/atom
**E_form**: -0.2514 eV per atom

Please write out number 12 again, unchanged.
Entry from the Alexandria database: an optimized crystal structure of SmTl2 (GGA-PBE).

Lattice parameters (Å, degrees): 5.4492 5.4492 6.6483 90.00 90.00 120.00
Atoms (fractional coordinates):
Tl (0.0000, 0.0000, 0.0000)
Tl (0.6667, 0.3333, 0.7500)
Tl (0.3333, 0.6667, 0.2500)
Tl (0.0000, 0.0000, 0.5000)
Sm (0.3333, 0.6667, 0.7500)
Sm (0.6667, 0.3333, 0.2500)

Results
**SG**: No. 194
**Total energy**: -0.2500 Ry/atom
**E_form**: -0.2514 eV per atom